[1]
The following is a DFT calculation (GGA-PBE) of crystalline PrBi2Pd4 at its relaxed geometry.

The calculation puts the density of states at the Fermi level at 5.918 states/eV/cell. The space group is P4_2/mnm. For the formation energy, the calculation gives -0.495 eV/atom.

Cell: 4.5583 8.0980 8.0980 Å, 90.00 90.00 90.00°
Last column: nearest neighbours and their distance in Å.
Fractional positions:
Pr 0.5000 0.0000 0.0000  6 Bi 3.28-3.34, 4 Pd 3.40
Pr 0.0000 0.5000 0.5000  6 Bi 3.28-3.34, 4 Pd 3.40
Bi 0.0000 0.2137 0.7863  6 Pd 2.79-2.84
Bi 0.0000 0.7863 0.2137  6 Pd 2.79-2.84
Bi 0.5000 0.7137 0.7137  6 Pd 2.79-2.84
Bi 0.5000 0.2863 0.2863  6 Pd 2.79-2.84
Pd 0.0000 0.1034 0.3628  6 Pd 2.78-3.01, 3 Bi 2.79-2.84
Pd 0.0000 0.8966 0.6372  6 Pd 2.78-3.01, 3 Bi 2.79-2.84
Pd 0.5000 0.1372 0.6034  6 Pd 2.78-3.01, 3 Bi 2.79-2.84
Pd 0.5000 0.8628 0.3966  6 Pd 2.78-3.01, 3 Bi 2.79-2.84
Pd 0.5000 0.3966 0.8628  6 Pd 2.78-3.01, 3 Bi 2.79-2.84
Pd 0.5000 0.6034 0.1372  6 Pd 2.78-3.01, 3 Bi 2.79-2.84
Pd 0.0000 0.3628 0.1034  6 Pd 2.78-3.01, 3 Bi 2.79-2.84
Pd 0.0000 0.6372 0.8966  6 Pd 2.78-3.01, 3 Bi 2.79-2.84

=====

[2]
The following is a DFT calculation (GGA-PBE) of crystalline PrBi6Pd6 at its relaxed geometry.

The calculation puts the density of states at the Fermi level at 9.723 states/eV/cell. The space group is Immm. For the formation energy, the calculation gives -0.342 eV/atom.

Cell: 5.9023 7.6589 7.6589 Å, 77.82 67.34 67.34°
Last column: nearest neighbours and their distance in Å.
Fractional positions:
Pr 0.0000 0.0000 0.0000  8 Bi 3.19-3.49
Bi 0.3373 0.6627 0.6627  6 Pd 2.96-3.02
Bi 0.6627 0.3373 0.3373  6 Pd 2.96-3.02
Bi 0.0000 0.3314 0.6686  6 Pd 3.08, 1 Pr 3.19, 1 Bi 3.24
Bi 0.0000 0.6686 0.3314  6 Pd 3.08, 1 Pr 3.19, 1 Bi 3.24
Bi 0.3302 0.1698 0.1698  6 Pd 2.90-2.94
Bi 0.6698 0.8302 0.8302  6 Pd 2.90-2.94
Pd 0.0000 0.5000 0.0000  6 Bi 2.94-3.08, 4 Pd 2.95-2.98
Pd 0.5000 0.5000 0.0000  6 Bi 2.94-3.08, 4 Pd 2.95-2.98
Pd 0.0000 0.0000 0.5000  6 Bi 2.94-3.08, 4 Pd 2.95-2.98
Pd 0.5000 0.0000 0.5000  6 Bi 2.94-3.08, 4 Pd 2.95-2.98
Pd 0.5000 0.7604 0.2396  6 Bi 2.90-3.08, 4 Pd 2.98
Pd 0.5000 0.2396 0.7604  6 Bi 2.90-3.08, 4 Pd 2.98

=====

[3]
The following is a DFT calculation (GGA-PBE) of crystalline Pr4Bi8Pd3 at its relaxed geometry.

The calculation puts the density of states at the Fermi level at 8.251 states/eV/cell. The space group is P-4m2. For the formation energy, the calculation gives -0.672 eV/atom.

Cell: 4.6904 4.6904 19.5037 Å, 90.00 90.00 90.00°
Last column: nearest neighbours and their distance in Å.
Fractional positions:
Pr 0.5000 0.0000 0.3823  4 Pd 3.28, 8 Bi 3.39-3.52
Pr 0.5000 0.0000 0.8880  2 Pd 3.21, 8 Bi 3.39-3.54
Pr 0.0000 0.5000 0.1120  2 Pd 3.21, 8 Bi 3.39-3.54
Pr 0.0000 0.5000 0.6177  4 Pd 3.28, 8 Bi 3.39-3.52
Bi 0.5000 0.0000 0.0759  2 Pd 2.77
Bi 0.5000 0.0000 0.5818  4 Pd 2.84
Bi 0.0000 0.5000 0.4182  4 Pd 2.84
Bi 0.0000 0.5000 0.9241  2 Pd 2.77
Bi 0.5000 0.5000 0.2479  4 Bi 3.32, 4 Pr 3.52-3.54
Bi 0.5000 0.5000 0.7521  4 Bi 3.32, 4 Pr 3.52-3.54
Bi 0.0000 0.0000 0.2477  4 Bi 3.32, 4 Pr 3.52-3.54
Bi 0.0000 0.0000 0.7523  4 Bi 3.32, 4 Pr 3.52-3.54
Pd 0.5000 0.5000 0.5000  4 Bi 2.84
Pd 0.0000 0.0000 0.0000  4 Bi 2.77
Pd 0.0000 0.0000 0.5000  4 Bi 2.84

=====

[4]
The following is a DFT calculation (GGA-PBE) of crystalline Pr2BiPd at its relaxed geometry.

The calculation puts the density of states at the Fermi level at 3.677 states/eV/cell. The space group is P4/mmm. For the formation energy, the calculation gives -0.675 eV/atom.

Cell: 3.7500 3.7500 7.9729 Å, 90.00 90.00 90.00°
Last column: nearest neighbours and their distance in Å.
Fractional positions:
Pr 0.0000 0.0000 0.7798  4 Pd 3.18, 4 Bi 3.47, 1 Pr 3.51
Pr 0.0000 0.0000 0.2202  4 Pd 3.18, 4 Bi 3.47, 1 Pr 3.51
Bi 0.5000 0.5000 0.5000  8 Pr 3.47, 4 Bi 3.75
Pd 0.5000 0.5000 0.0000  8 Pr 3.18